(1)
Material: SmThRh
Method: DFT, PBE
State: relaxed

Properties
ΔE to the lowest computed polymorph in kJ/mol of atoms: 10.6
N(E_F) in states/eV per cell: 3.01
Energy of formation in eV per formula unit: -1.5

Cell lengths 6.2335, 6.2335, 6.2335 Å; angles 145.91, 145.91, 48.99 degrees
Sites, in units of the cell vectors:
Sm: 0.0000 0.0000 0.0000
Th: 0.2959 0.2959 0.0000
Rh: 0.6779 0.6779 0.0000


(2)
Material: CaNpCuTe3
Method: DFT, PBE
State: relaxed

Properties
N(E_F) in states/eV per cell: 21.72
ΔE_f (raw) in kJ per mole of atoms: -78

Cell lengths 8.8793, 4.2615, 9.7677 Å; angles 90.00, 102.82, 90.00 degrees
Sites, in units of the cell vectors:
Ca: 0.1868 0.2500 0.2566
Ca: 0.8132 0.7500 0.7434
Np: 0.3258 0.7500 0.8367
Np: 0.6742 0.2500 0.1633
Cu: 0.0751 0.2500 0.5779
Cu: 0.9249 0.7500 0.4221
Te: 0.0799 0.2500 0.8549
Te: 0.2337 0.7500 0.5140
Te: 0.4206 0.7500 0.1668
Te: 0.5794 0.2500 0.8332
Te: 0.7663 0.2500 0.4860
Te: 0.9201 0.7500 0.1451


(3)
Material: CeEr5Tm4
Method: DFT, PBE
State: relaxed

Properties
ΔE to the lowest computed polymorph in kJ/mol of atoms: 2.5
N(E_F) in states/eV per cell: 15.55
Energy of formation in eV per formula unit: 2.8

Cell lengths 7.9008, 7.9008, 7.9008 Å; angles 97.61, 97.61, 137.33 degrees
Sites, in units of the cell vectors:
Ce: 0.0000 0.0000 0.0000
Er: 0.4706 0.4706 0.0000
Er: 0.5756 0.5756 0.6264
Er: 0.5756 0.9492 0.0000
Er: 0.9492 0.5756 0.0000
Er: 0.9492 0.9492 0.3736
Tm: 0.2628 0.5898 0.3269
Tm: 0.2628 0.9359 0.6731
Tm: 0.5898 0.2628 0.3269
Tm: 0.9359 0.2628 0.6731


(4)
Material: Pr2Y5HoTm
Method: DFT, PBE
State: relaxed

Properties
N(E_F) in states/eV per cell: 24.73
Energy of formation in eV per formula unit: 2.3

Cell lengths 10.0364, 10.0364, 10.0364 Å; angles 129.23, 129.23, 74.64 degrees
Sites, in units of the cell vectors:
Pr: 0.1188 0.6188 0.7376
Pr: 0.3812 0.1188 0.5000
Pr: 0.6188 0.8812 0.5000
Pr: 0.8812 0.3812 0.2624
Y: 0.0000 0.0000 0.0000
Y: 0.0718 0.1452 0.5000
Y: 0.1452 0.6452 0.0734
Y: 0.3548 0.4282 0.5000
Y: 0.4282 0.9282 0.0734
Y: 0.5000 0.5000 0.0000
Y: 0.5718 0.0718 0.9266
Y: 0.6452 0.5718 0.5000
Y: 0.8548 0.3548 0.9266
Y: 0.9282 0.8548 0.5000
Ho: 0.2500 0.7500 0.5000
Ho: 0.7500 0.2500 0.5000
Tm: 0.2500 0.2500 0.0000
Tm: 0.7500 0.7500 0.0000


(5)
Material: Ho4TlOs
Method: DFT, PBE
State: relaxed

Properties
N(E_F) in states/eV per cell: 11.10
Energy of formation in eV per formula unit: -1.9

Cell lengths 7.8502, 7.8502, 6.1358 Å; angles 99.63, 99.63, 112.35 degrees
Sites, in units of the cell vectors:
Ho: 0.0604 0.7236 0.9519
Ho: 0.2002 0.3493 0.6102
Ho: 0.2764 0.9396 0.5481
Ho: 0.3493 0.2002 0.1102
Ho: 0.6507 0.7998 0.8898
Ho: 0.7236 0.0604 0.4519
Ho: 0.7998 0.6507 0.3898
Ho: 0.9396 0.2764 0.0481
Tl: 0.3748 0.6252 0.2500
Tl: 0.6252 0.3748 0.7500
Os: 0.9998 0.0002 0.2500
Os: 0.0002 0.9998 0.7500


(6)
Material: ScCoOs2
Method: DFT, PBE
State: relaxed

Properties
ΔE to the lowest computed polymorph in kJ/mol of atoms: 12.4
N(E_F) in states/eV per cell: 4.15
Energy of formation in eV per formula unit: 0.3

Cell lengths 2.7552, 2.7552, 7.6835 Å; angles 90.00, 90.00, 90.00 degrees
Sites, in units of the cell vectors:
Sc: 0.0000 0.0000 0.0000
Co: 0.0000 0.0000 0.5000
Os: 0.5000 0.5000 0.2850
Os: 0.5000 0.5000 0.7150